Record 1
Zr: optimized geometry, PBE-GGA.

Cell and atoms, written as POSCAR:
```
Zr
1.0
5.679 0.000 0.000
0.000 5.679 0.000
0.000 0.000 5.679
Zr
8
direct
0.000 0.000 0.000
0.000 0.250 0.500
0.000 0.750 0.500
0.250 0.500 0.000
0.500 0.000 0.250
0.500 0.000 0.750
0.500 0.500 0.500
0.750 0.500 0.000
```

Results
Space group: Pm-3n (223)
Energy of formation, eV/atom: 0.14
V, Å³ per atom: 22.89
Energy above the lowest structure with this stoichiometry, meV per atom: 136
Final energy, eV/f.u.: -8.41

Record 2
Zr4CdCuC2: optimized geometry, PBE-GGA.

Cell and atoms, written as POSCAR:
```
Zr4CdCuC2
1.0
3.332 0.000 0.000
-1.666 2.885 0.000
0.000 0.000 14.425
Zr Cd Cu C
4 1 1 2
direct
0.000 0.000 0.145
0.000 0.000 0.855
0.667 0.333 0.322
0.667 0.333 0.678
0.000 0.000 0.500
0.667 0.333 0.000
0.333 0.667 0.236
0.333 0.667 0.764
```

Results
Space group: P-6m2 (187)
V, Å³ per atom: 17.33
Final energy, eV/f.u.: -60.90

Record 3
BeInNiOs: optimized geometry, PBE-GGA.

Cell and atoms, written as POSCAR:
```
BeInNiOs
1.0
0.000 2.988 2.988
2.988 0.000 2.988
2.988 2.988 0.000
Be In Ni Os
1 1 1 1
direct
0.000 0.000 0.000
0.250 0.250 0.250
0.500 0.500 0.500
0.750 0.750 0.750
```

Results
Space group: F-43m (216)
V, Å³ per atom: 13.34
Final energy, eV/f.u.: -22.18

Record 4
BeCuMoAs: optimized geometry, PBE-GGA.

Cell and atoms, written as POSCAR:
```
BeCuMoAs
1.0
0.000 2.998 2.998
2.998 0.000 2.998
2.998 2.998 0.000
Be Cu Mo As
1 1 1 1
direct
0.000 0.000 0.000
0.500 0.500 0.500
0.750 0.750 0.750
0.250 0.250 0.250
```

Results
Space group: F-43m (216)
V, Å³ per atom: 13.47
Energy above the lowest structure with this stoichiometry, meV per atom: 357
Final energy, eV/f.u.: -20.22

Record 5
Tb2Tm2C3: optimized geometry, PBE-GGA.

Cell and atoms, written as POSCAR:
```
Tb2Tm2C3
1.0
6.500 -1.846 0.000
6.500 1.846 0.000
-2.620 0.000 5.449
Tb Tm C
2 2 3
direct
0.135 0.135 0.492
0.865 0.865 0.508
0.366 0.366 0.056
0.634 0.634 0.944
0.220 0.220 0.203
0.500 0.500 0.500
0.780 0.780 0.797
```

Results
Space group: C2/m (12)
V, Å³ per atom: 18.69
Final energy, eV/f.u.: -47.55

Record 6
AlZnCd2: optimized geometry, PBE-GGA.

Cell and atoms, written as POSCAR:
```
AlZnCd2
1.0
0.000 3.392 3.392
3.392 0.000 3.392
3.392 3.392 0.000
Al Zn Cd
1 1 2
direct
0.000 0.000 0.000
0.250 0.250 0.250
0.500 0.500 0.500
0.750 0.750 0.750
```

Results
Space group: F-43m (216)
V, Å³ per atom: 19.52
Final energy, eV/f.u.: -6.05

Record 7
ScTc2: optimized geometry, PBE-GGA.

Cell and atoms, written as POSCAR:
```
ScTc2
1.0
5.225 0.000 0.000
-2.612 4.525 0.000
0.000 0.000 8.587
Sc Tc
4 8
direct
0.333 0.667 0.063
0.333 0.667 0.437
0.667 0.333 0.563
0.667 0.333 0.937
0.000 0.000 0.000
0.000 0.000 0.500
0.172 0.344 0.750
0.172 0.828 0.750
0.344 0.172 0.250
0.656 0.828 0.750
0.828 0.172 0.250
0.828 0.656 0.250
```

Results
Space group: P6_3/mmc (194)
Energy of formation, eV/atom: -0.30
V, Å³ per atom: 16.92
Energy above the lowest structure with this stoichiometry, meV per atom: 0
Final energy, eV/f.u.: -27.96

Record 8
HoEr2NiSn3Pd2: optimized geometry, PBE-GGA.

Cell and atoms, written as POSCAR:
```
HoEr2NiSn3Pd2
1.0
3.825 0.000 0.000
0.000 6.538 3.771
0.000 -6.538 3.771
Ho Er Ni Sn Pd
1 2 1 3 2
direct
0.000 0.000 0.000
0.000 0.198 0.599
0.000 0.599 0.198
0.000 0.599 0.599
0.500 0.347 0.347
0.500 0.599 0.851
0.500 0.851 0.599
0.500 0.266 0.932
0.500 0.932 0.266
```

Results
Space group: Amm2 (38)
V, Å³ per atom: 20.95
Final energy, eV/f.u.: -49.47

Record 9
ZnFeTcSb: optimized geometry, PBE-GGA.

Cell and atoms, written as POSCAR:
```
ZnFeTcSb
1.0
0.000 3.095 3.095
3.095 0.000 3.095
3.095 3.095 0.000
Zn Fe Tc Sb
1 1 1 1
direct
0.000 0.000 0.000
0.750 0.750 0.750
0.250 0.250 0.250
0.500 0.500 0.500
```

Results
Space group: F-43m (216)
V, Å³ per atom: 14.83
Energy above the lowest structure with this stoichiometry, meV per atom: 0
Final energy, eV/f.u.: -23.24

Record 10
Ta12Ni17: optimized geometry, PBE-GGA.

Cell and atoms, written as POSCAR:
```
Ta12Ni17
1.0
-4.715 4.715 4.715
4.715 -4.715 4.715
4.715 4.715 -4.715
Ta Ni
12 17
direct
0.000 0.200 0.401
0.000 0.401 0.200
0.200 0.000 0.401
0.200 0.401 0.000
0.201 0.800 0.800
0.401 0.000 0.200
0.401 0.200 0.000
0.599 0.599 0.799
0.599 0.799 0.599
0.799 0.599 0.599
0.800 0.201 0.800
0.800 0.800 0.201
0.000 0.000 0.000
0.000 0.000 0.668
0.000 0.421 0.691
0.000 0.668 0.000
0.000 0.691 0.421
0.270 0.579 0.579
0.309 0.309 0.730
0.309 0.730 0.309
0.332 0.332 0.332
0.421 0.000 0.691
0.421 0.691 0.000
0.579 0.270 0.579
0.579 0.579 0.270
0.668 0.000 0.000
0.691 0.000 0.421
0.691 0.421 0.000
0.730 0.309 0.309
```

Results
Space group: I-43m (217)
Energy of formation, eV/atom: 0.17
V, Å³ per atom: 14.46
Energy above the lowest structure with this stoichiometry, meV per atom: 279
Final energy, eV/f.u.: -232.01

Record 11
Ta2AgTe2: optimized geometry, PBE-GGA.

Cell and atoms, written as POSCAR:
```
Ta2AgTe2
1.0
-2.041 2.041 6.976
2.041 -2.041 6.976
2.041 2.041 -6.976
Ta Ag Te
2 1 2
direct
0.250 0.750 0.500
0.750 0.250 0.500
0.000 0.000 0.000
0.388 0.388 0.000
0.612 0.612 0.000
```

Results
Space group: I4/mmm (139)
V, Å³ per atom: 23.25
Energy above the lowest structure with this stoichiometry, meV per atom: 0
Final energy, eV/f.u.: -31.41

Record 12
GdAg2Au: optimized geometry, PBE-GGA.

Cell and atoms, written as POSCAR:
```
GdAg2Au
1.0
5.077 0.000 0.000
0.000 6.105 0.000
0.000 0.000 5.269
Gd Ag Au
2 4 2
direct
0.250 0.250 0.139
0.750 0.750 0.861
0.250 0.506 0.645
0.250 0.994 0.645
0.750 0.006 0.355
0.750 0.494 0.355
0.250 0.750 0.164
0.750 0.250 0.836
```

Results
Space group: Pmmn (59)
Energy of formation, eV/atom: -0.45
V, Å³ per atom: 20.42
Final energy, eV/f.u.: -15.36